[1]
Hf3CoRh after structural relaxation. Source: Alexandria, functional GGA-PBE.

```
10
Lattice="4.236 0.000 0.000 0.000 5.958 0.000 0.000 0.000 7.457" Properties=species:S:1:pos:R:3 pbc="T T T"
Hf 1.059 0.010 1.203
Hf 1.059 1.490 4.054
Hf 1.059 2.969 1.203
Hf 3.177 2.989 6.254
Hf 3.177 4.469 3.403
Hf 3.177 5.949 6.254
Co 1.059 1.490 6.592
Co 3.177 4.469 0.864
Rh 1.059 4.469 5.056
Rh 3.177 1.490 2.401
```

Summary:
Energy   -9.216 eV per atom
N(E_F)   7.2 states/eV/cell
Total magnetization   0.0 μB per cell
Space-group type   Pmmn, No. 59
Energy of formation   -0.352 eV per atom
Density   12.3 g/cm³
E above lowest polymorph   111 meV/atom

[2]
Hf4Co2Rh after structural relaxation. Source: Alexandria, functional GGA-PBE.

```
7
Lattice="3.873 -2.241 0.000 3.873 2.241 0.000 -2.597 0.000 7.166" Properties=species:S:1:pos:R:3 pbc="T T T"
Hf -0.006 0.000 2.559
Hf 2.580 0.000 0.780
Hf 2.569 0.000 6.387
Hf 5.155 0.000 4.607
Co -0.011 0.000 5.327
Co 5.160 0.000 1.840
Rh 2.575 0.000 3.583
```

Summary:
Energy   -9.181 eV per atom
N(E_F)   7.0 states/eV/cell
Total magnetization   0.5 μB per cell
Space-group type   C2/m, No. 12
Energy of formation   -0.413 eV per atom
Density   12.5 g/cm³

[3]
Hf2CoRh2 after structural relaxation. Source: Alexandria, functional GGA-PBE.

```
10
Lattice="6.682 0.000 0.000 0.000 6.682 0.000 0.000 0.000 3.777" Properties=species:S:1:pos:R:3 pbc="T T T"
Hf 1.168 2.173 0.000
Hf 2.173 5.514 0.000
Hf 4.509 1.168 0.000
Hf 5.514 4.509 0.000
Co 0.000 0.000 1.889
Co 3.341 3.341 1.889
Rh 0.915 4.256 1.889
Rh 2.426 0.915 1.889
Rh 4.256 5.767 1.889
Rh 5.767 2.426 1.889
```

Summary:
Energy   -8.801 eV per atom
N(E_F)   8.4 states/eV/cell
Total magnetization   0.0 μB per cell
Space-group type   P4/mbm, No. 127
Energy of formation   -0.458 eV per atom
Density   12.2 g/cm³

[4]
Hf3CoRh after structural relaxation. Source: Alexandria, functional GGA-PBE.

```
5
Lattice="4.688 0.000 0.000 0.000 4.688 0.000 0.000 0.000 4.688" Properties=species:S:1:pos:R:3 pbc="T T T"
Hf 0.000 0.000 2.344
Hf 0.000 2.344 0.000
Hf 2.344 0.000 0.000
Co 0.000 0.000 0.000
Rh 2.344 2.344 2.344
```

Summary:
Energy   -8.689 eV per atom
N(E_F)   6.8 states/eV/cell
Total magnetization   0.0 μB per cell
Space-group type   Pm-3m, No. 221
Energy of formation   0.175 eV per atom
Density   11.2 g/cm³
E above lowest polymorph   638 meV/atom

[5]
Hf6CoRh2 after structural relaxation. Source: Alexandria, functional GGA-PBE.

```
18
Lattice="5.500 0.000 0.000 0.000 7.094 0.000 -5.460 0.000 8.905" Properties=species:S:1:pos:R:3 pbc="T T T"
Hf -0.897 0.395 2.221
Hf -3.627 3.152 6.674
Hf 0.818 5.120 0.549
Hf -1.912 5.521 5.002
Hf 1.879 1.073 0.388
Hf -0.851 2.474 4.840
Hf 0.890 4.620 4.065
Hf -1.840 6.021 8.517
Hf 1.951 1.573 3.903
Hf -0.779 1.974 8.356
Hf 3.666 3.942 2.231
Hf 0.936 6.699 6.684
Co 0.020 0.000 4.453
Co 2.750 3.547 0.000
Rh -2.094 0.685 6.368
Rh 0.636 2.862 1.915
Rh -0.597 4.232 6.990
Rh 2.133 6.409 2.537
```

Summary:
Energy   -9.457 eV per atom
N(E_F)   15.7 states/eV/cell
Total magnetization   0.0 μB per cell
Space-group type   P2_1/c, No. 14
Energy of formation   -0.399 eV per atom
Density   12.8 g/cm³

[6]
HfCo4Rh after structural relaxation. Source: Alexandria, functional GGA-PBE.

```
6
Lattice="0.000 3.386 3.386 3.386 0.000 3.386 3.386 3.386 0.000" Properties=species:S:1:pos:R:3 pbc="T T T"
Hf 0.000 0.000 0.000
Co 4.228 2.543 2.543
Co 2.543 4.228 2.543
Co 2.543 2.543 4.228
Co 4.228 4.228 4.228
Rh 1.693 1.693 1.693
```

Summary:
Energy   -7.902 eV per atom
N(E_F)   5.7 states/eV/cell
Total magnetization   6.5 μB per cell
Space-group type   F-43m, No. 216
Energy of formation   -0.281 eV per atom
Density   11.1 g/cm³